Run i
## Ag2BF6 (PBE)

Data for a relaxed Ag2BF6 crystal.

Unit cell a=6.872 b=7.807 c=5.274 alpha=89.34 beta=90.18 gamma=90.82
Site moments in Bohr magnetons follow the coordinates.
Sites, in units of the cell vectors:
F1 0.229 0.500 0.474  0.01
F2 0.729 0.002 0.029  0.01
F3 0.333 0.144 0.753  0.16
F4 0.086 0.277 0.249  0.00
F5 0.236 0.503 0.031  0.01
F6 0.447 0.949 0.253  0.01
F7 0.731 0.000 0.472  0.01
F8 0.585 0.223 0.249  0.00
F9 0.950 0.548 0.244  0.01
F10 0.609 0.645 0.754  0.15
F11 0.105 0.856 0.746  0.15
F12 0.832 0.354 0.746  0.15
B1 0.124 0.453 0.249  0.00
B2 0.621 0.048 0.250  0.00
Ag1 0.998 0.120 0.745  0.33
Ag2 0.498 0.381 0.757  0.34
Ag3 0.944 0.618 0.744  0.34
Ag4 0.443 0.879 0.754  0.32

Values from the calculation:
D(E_F) = 2.2 states/eV/f.u.

---

Run ii
## Ag2BF6 (PBE)

Data for a relaxed Ag2BF6 crystal.

Unit cell a=5.715 b=5.716 c=7.189 alpha=90.00 beta=90.17 gamma=90.00
Site moments in Bohr magnetons follow the coordinates.
Sites, in units of the cell vectors:
Ag1 0.001 0.501 0.250  0.30
Ag2 0.999 0.499 0.750  0.30
Ag3 0.499 0.001 0.250  0.30
Ag4 0.501 0.999 0.750  0.30
B1 0.000 0.000 0.500  0.00
B2 0.500 0.500 0.000  0.00
F1 0.499 0.500 0.804  0.01
F2 0.706 0.127 0.501  0.09
F3 0.127 0.294 0.500  0.09
F4 0.373 0.794 0.000  0.09
F5 0.999 0.000 0.304  0.01
F6 0.627 0.206 0.000  0.09
F7 0.501 0.500 0.196  0.01
F8 0.206 0.373 0.001  0.09
F9 0.873 0.706 0.500  0.09
F10 0.794 0.627 0.999  0.09
F11 0.001 0.000 0.696  0.01
F12 0.294 0.873 0.499  0.09

Values from the calculation:
D(E_F) = 2.1 states/eV/f.u.

---

Ranked by calculated energy, most stable first: run i, run ii.